Record 1
# BeCuIr2

A relaxed BeCuIr2 crystal (PBE, the Alexandria database).

a = 4.6352 Å, b = 4.6352 Å, c = 4.4794 Å
α = 70.16°, β = 70.16°, γ = 34.46°
Last column: nearest neighbours and their distance in Å.
Sites, in units of the cell vectors:
1 Be 0.2500 0.2500 0.2500  4 Ir 2.32
2 Ir 0.5279 0.5279 0.4770  2 Be 2.32
3 Cu 0.7500 0.7500 0.7500  4 Be 2.63, 6 Ir 2.66-2.70, 2 Cu 2.75
4 Ir 0.9721 0.9721 0.0230  2 Be 2.32

Values from the calculation:
The value obtained for the total energy is -6.51 eV/atom. As for the density of states at the Fermi level: 0.907 states/eV/atom. Its formation energy from the elements is -0.125 eV per atom. As for the magnetic moment: 0.000 Bohr magnetons per cell.

Record 2
# Be2CuIr2

A relaxed Be2CuIr2 crystal (PBE, the Alexandria database).

a = 4.0673 Å, b = 4.0673 Å, c = 4.9905 Å
α = 65.95°, β = 65.95°, γ = 90.00°
Last column: nearest neighbours and their distance in Å.
Sites, in units of the cell vectors:
1 Be 0.7500 0.2500 0.5000  4 Ir 2.20
2 Be 0.2500 0.7500 0.5000  4 Ir 2.20
3 Cu 0.0000 0.0000 0.0000  10 Ir 2.87-3.12, 8 Be 2.88
4 Ir 0.3523 0.3523 0.2954  4 Be 2.20, 1 Ir 2.41
5 Ir 0.6477 0.6477 0.7046  4 Be 2.20, 1 Ir 2.41

Values from the calculation:
The value obtained for the total energy is -5.64 eV/atom. As for the density of states at the Fermi level: 0.676 states/eV/atom. The energy above the most stable polymorph in this dataset is 0.556 eV per atom. Its formation energy from the elements is 0.215 eV per atom. As for the magnetic moment: 0.000 Bohr magnetons per cell.

Record 3
# Be6CuIr

A relaxed Be6CuIr crystal (PBE, the Alexandria database).

a = 4.2588 Å, b = 4.2588 Å, c = 4.2588 Å
α = 90.00°, β = 90.00°, γ = 90.00°
Last column: nearest neighbours and their distance in Å.
Sites, in units of the cell vectors:
1 Be 0.5000 0.2530 0.0000  2 Be 2.10-2.15
2 Cu 0.0000 0.0000 0.0000  12 Be 2.39
3 Be 0.0000 0.5000 0.2530  2 Be 2.10-2.15
4 Be 0.7470 0.0000 0.5000  2 Be 2.10-2.15
5 Be 0.2530 0.0000 0.5000  2 Be 2.10-2.15
6 Be 0.5000 0.7470 0.0000  2 Be 2.10-2.15
7 Ir 0.5000 0.5000 0.5000  12 Be 2.38
8 Be 0.0000 0.5000 0.7470  2 Be 2.10-2.15

Values from the calculation:
The value obtained for the total energy is -4.53 eV/atom. As for the density of states at the Fermi level: 0.294 states/eV/atom. Its formation energy from the elements is -0.119 eV per atom. As for the magnetic moment: 0.000 Bohr magnetons per cell.

Record 4
# BeCuIr2

A relaxed BeCuIr2 crystal (PBE, the Alexandria database).

a = 2.7778 Å, b = 4.5492 Å, c = 4.1077 Å
α = 90.00°, β = 90.00°, γ = 90.00°
Last column: nearest neighbours and their distance in Å.
Sites, in units of the cell vectors:
1 Be 0.5000 0.0000 0.5000  4 Ir 2.48, 4 Cu 2.67
2 Ir 0.0000 0.0000 0.0000  4 Be 2.48, 4 Ir 2.67
3 Cu 0.0000 0.5000 0.5000  4 Ir 2.48, 4 Be 2.67
4 Ir 0.5000 0.5000 0.0000  4 Cu 2.48, 4 Ir 2.67

Values from the calculation:
The value obtained for the total energy is -6.36 eV/atom. As for the density of states at the Fermi level: 0.662 states/eV/atom. Its formation energy from the elements is 0.027 eV per atom. As for the magnetic moment: 0.000 Bohr magnetons per cell.

Record 5
# BeCu2Ir2

A relaxed BeCu2Ir2 crystal (PBE, the Alexandria database).

a = 5.7985 Å, b = 5.7985 Å, c = 4.0372 Å
α = 90.00°, β = 90.00°, γ = 90.00°
Last column: nearest neighbours and their distance in Å.
Sites, in units of the cell vectors:
1 Be 0.0000 0.0000 0.0000  4 Ir 2.20
2 Ir 0.8487 0.6513 0.0000  2 Be 2.20
3 Ir 0.1513 0.3487 0.0000  2 Be 2.20
4 Be 0.5000 0.5000 0.0000  4 Ir 2.20
5 Ir 0.3487 0.8487 0.0000  2 Be 2.20
6 Cu 0.1596 0.6596 0.5000  6 Ir 2.55-2.71, 1 Cu 2.62
7 Ir 0.6513 0.1513 0.0000  2 Be 2.20
8 Cu 0.3404 0.1596 0.5000  6 Ir 2.55-2.71, 1 Cu 2.62
9 Cu 0.8404 0.3404 0.5000  6 Ir 2.55-2.71, 1 Cu 2.62
10 Cu 0.6596 0.8404 0.5000  6 Ir 2.55-2.71, 1 Cu 2.62

Values from the calculation:
The value obtained for the total energy is -5.76 eV/atom. As for the density of states at the Fermi level: 0.948 states/eV/atom. Its formation energy from the elements is 0.163 eV per atom. As for the magnetic moment: 0.000 Bohr magnetons per cell.

Record 6
# BeCu4Ir

A relaxed BeCu4Ir crystal (PBE, the Alexandria database).

a = 4.7069 Å, b = 4.7069 Å, c = 4.7069 Å
α = 60.00°, β = 60.00°, γ = 60.00°
Last column: nearest neighbours and their distance in Å.
Sites, in units of the cell vectors:
1 Cu 0.3748 0.3748 0.8755  6 Cu 2.35-2.36
2 Cu 0.3748 0.3748 0.3748  6 Cu 2.35-2.36
3 Be 0.0000 0.0000 0.0000  12 Cu 2.76, 4 Ir 2.88
4 Cu 0.8755 0.3748 0.3748  6 Cu 2.35-2.36
5 Ir 0.7500 0.7500 0.7500  12 Cu 2.76, 4 Be 2.88
6 Cu 0.3748 0.8755 0.3748  6 Cu 2.35-2.36

Values from the calculation:
The value obtained for the total energy is -4.60 eV/atom. As for the density of states at the Fermi level: 0.412 states/eV/atom. Its formation energy from the elements is 0.229 eV per atom. As for the magnetic moment: 0.000 Bohr magnetons per cell.

Record 7
# LaBeCu2Ir

A relaxed LaBeCu2Ir crystal (PBE, the Alexandria database).

a = 4.3051 Å, b = 4.3051 Å, c = 4.4771 Å
α = 90.00°, β = 90.00°, γ = 90.00°
Last column: nearest neighbours and their distance in Å.
Sites, in units of the cell vectors:
1 La 0.5000 0.5000 0.5000  4 Ir 3.04, 8 Cu 3.11
2 Ir 0.0000 0.0000 0.5000  2 Be 2.24
3 Be 0.0000 0.0000 0.0000  4 Cu 2.15, 2 Ir 2.24
4 Cu 0.0000 0.5000 0.0000  2 Be 2.15
5 Cu 0.5000 0.0000 0.0000  2 Be 2.15

Values from the calculation:
The value obtained for the total energy is -5.32 eV/atom. As for the density of states at the Fermi level: 0.341 states/eV/atom. Its formation energy from the elements is -0.181 eV per atom. As for the magnetic moment: 0.000 Bohr magnetons per cell.

Record 8
# La2BeCuIr

A relaxed La2BeCuIr crystal (PBE, the Alexandria database).

a = 5.3670 Å, b = 5.3670 Å, c = 4.0413 Å
α = 90.00°, β = 90.00°, γ = 90.00°
Last column: nearest neighbours and their distance in Å.
Sites, in units of the cell vectors:
1 La 0.0000 0.5000 0.0000  2 Cu 2.68
2 La 0.5000 0.0000 0.0000  2 Cu 2.68
3 Ir 0.5000 0.5000 0.5000  8 La 3.36
4 Cu 0.0000 0.0000 0.0000  2 Be 2.02
5 Be 0.0000 0.0000 0.5000  2 Cu 2.02

Values from the calculation:
The value obtained for the total energy is -5.15 eV/atom. As for the density of states at the Fermi level: 0.721 states/eV/atom. Its formation energy from the elements is 0.159 eV per atom. As for the magnetic moment: 0.000 Bohr magnetons per cell.